PBEsol CdSbMo2, optimized geometry; formation energy without anion corrections = 0.402 eV per atom; E = -6.92 eV per atom; offset from the most stable computed form = 0 meV/atom; magnetization = 0.00 μB per atom; crystal system = monoclinic
1.0
3.2073 0.0000 0.0000
0.0000 4.8993 -0.0511
-1.6037 -1.6601 4.6755
Sb Cd Mo
1 1 2
Cartesian
1.6037 2.6004 0.1041
1.6037 0.2311 2.1776
1.6037 -1.5196 4.4213
0.0000 2.7170 2.5714

***

PBEsol ScOs2Au, optimized geometry; E = -8.56 eV per atom; energy of formation = 0.177 eV per atom; offset from the most stable computed form = 0 meV/atom; magnetization = 0.00 μB per atom; crystal system = orthorhombic
1.0
2.9191 0.0000 0.0000
0.0000 4.7367 0.0170
0.0000 -1.5232 4.4852
Au Os Sc
1 2 1
Cartesian
1.4595 1.6068 2.2511
0.0000 -0.7616 2.2426
0.0000 2.3684 0.0085
1.4595 0.0000 0.0000

***

PBEsol SrCaBeGe2, optimized geometry; E = -2.62 eV per atom; energy of formation = 0.946 eV per atom; magnetization = 0.00 μB per atom; crystal system = tetragonal
1.0
-3.0976 4.1635 0.2861
-2.9865 -1.9409 -4.0899
-3.1695 -2.6020 3.5492
Ge Ca Sr Be
2 1 1 1
Cartesian
-1.5848 -1.3010 1.7746
-1.4932 -0.9704 -2.0449
-4.6268 -0.1897 -0.1273
0.0000 0.0000 0.0000
-1.5488 2.0817 0.1431

***

PBEsol HfGeP2S, optimized geometry; formation energy without anion corrections = 0.449 eV per atom; E = -5.83 eV per atom; magnetization = 0.00 μB per atom; crystal system = tetragonal
1.0
-2.0381 -3.9705 0.7100
1.4966 -0.0058 4.2641
-3.8278 2.2057 1.3465
Ge P S Hf
1 2 1 1
Cartesian
0.0000 0.0000 0.0000
-1.0191 -1.9852 0.3550
0.7483 -0.0029 2.1321
-1.9139 1.1028 0.6732
-2.1847 -0.8853 3.1603

***

PBEsol MgRhAu, optimized geometry; E = -4.76 eV per atom; energy of formation = -0.169 eV per atom; offset from the most stable computed form = 0 meV/atom; magnetization = 0.00 μB per atom; crystal system = trigonal
1.0
2.7790 0.0000 0.0000
0.0000 4.4166 0.0000
0.0000 -2.2083 3.8249
Au Rh Mg
1 1 1
Cartesian
2.6379 0.0000 0.0000
1.0361 0.0000 2.5499
1.8841 2.2083 1.2750

***

PBEsol BaBe2Mo, optimized geometry; E = -4.96 eV per atom; energy of formation = 0.522 eV per atom; offset from the most stable computed form = 0 meV/atom; magnetization = 0.00 μB per atom; crystal system = trigonal
1.0
-2.7613 -2.3455 -1.1553
0.6250 -3.7484 -0.1423
-2.6460 -2.5707 5.2850
Be Mo Ba
2 1 1
Cartesian
-2.2820 -2.4692 4.2087
-3.6801 -6.5245 3.2665
-2.6805 -4.4130 2.8489
-1.1771 -2.1610 0.9422

***

PBEsol CuHg2Os, optimized geometry; E = -3.79 eV per atom; energy of formation = 0.635 eV per atom; offset from the most stable computed form = 73 meV/atom; magnetization = 0.00 μB per atom; crystal system = tetragonal
1.0
2.8843 0.0000 0.0000
0.0000 2.8843 0.0000
0.0000 0.0000 7.7749
Cu Hg Os
1 2 1
Cartesian
1.4421 1.4421 3.8874
0.0000 0.0000 5.7475
0.0000 0.0000 2.0274
1.4421 1.4421 0.0000

***

PBEsol MoN, optimized geometry; formation energy without anion corrections = -0.641 eV per atom; E = -10.79 eV per atom; magnetization = 0.00 μB per atom; crystal system = hexagonal
1.0
2.8300 0.0000 0.0000
-1.4150 2.4508 0.0000
0.0000 0.0000 5.6337
N Mo
2 2
Cartesian
1.4150 0.8169 1.4084
0.0000 1.6339 4.2253
0.0000 0.0000 0.0000
0.0000 0.0000 2.8169

***

PBEsol NiTeSe, optimized geometry; formation energy without anion corrections = -0.296 eV per atom; E = -4.81 eV per atom; offset from the most stable computed form = 0 meV/atom; magnetization = 0.00 μB per atom; crystal system = trigonal
1.0
3.6937 0.0000 0.0000
-1.8468 3.1988 0.0000
0.0000 0.0000 4.9003
Se Ni Te
1 1 1
Cartesian
0.0000 2.1325 3.6850
0.0000 0.0000 4.8301
1.8468 1.0663 1.2854

***

PBEsol NaSeCl2, optimized geometry; formation energy without anion corrections = -0.443 eV per atom; E = -2.76 eV per atom; offset from the most stable computed form = 0 meV/atom; magnetization = 0.00 μB per atom; crystal system = tetragonal
1.0
-0.2661 -4.4411 -4.3393
5.5081 0.6503 2.8039
-4.0694 -1.5872 4.4208
Cl Na Se
4 2 2
Cartesian
3.4257 -0.1594 1.2924
-3.5636 -4.2709 1.9769
-0.0196 -2.1464 1.6337
2.5026 -4.1793 0.8678
2.6210 -1.8954 -0.7677
-0.8573 -3.9618 -0.3431
0.0000 0.0000 0.0000
2.0298 -1.4162 3.2285

***

PBEsol ZnW2I, optimized geometry; formation energy without anion corrections = 1.143 eV per atom; E = -6.60 eV per atom; magnetization = 0.00 μB per atom; crystal system = cubic
1.0
-1.9251 3.2390 -2.4891
0.0583 -0.2807 -4.5067
-3.8157 -0.8555 -2.2586
I W Zn
1 2 1
Cartesian
-2.8413 1.0514 -4.6272
-1.4206 0.5257 -2.3136
-4.2619 1.5771 -6.9408
0.0000 0.0000 0.0000

***

PBEsol Zn5Cu, optimized geometry; E = -2.10 eV per atom; energy of formation = -0.056 eV per atom; magnetization = 0.00 μB per atom; crystal system = monoclinic
1.0
-0.3100 1.1819 -2.4348
2.8442 -4.0257 -0.7923
-5.8165 -2.2995 -0.3758
Zn Cu
5 1
Cartesian
-1.1796 -1.3042 -2.0069
-4.4837 -3.0855 -2.4510
-3.2711 -1.7959 -0.4554
-2.1166 -3.8703 -1.6093
0.5307 -3.3084 -1.6736
-3.2773 -5.1265 -3.5953

***

PBEsol TePb2WI, optimized geometry; formation energy without anion corrections = 2.004 eV per atom; E = -3.42 eV per atom; magnetization = 0.93 μB per atom; crystal system = tetragonal
1.0
-4.8593 -2.9572 0.8999
0.6207 -2.5884 -5.1545
3.0512 -4.2521 2.5027
Te Pb W I
1 2 1 1
Cartesian
-2.4296 -1.4786 0.4499
1.5256 -2.1260 1.2514
0.3104 -1.2942 -2.5772
-0.5937 -4.8989 -0.8759
0.0000 0.0000 0.0000

***

PBEsol Na11W13O39, optimized geometry; formation energy without anion corrections = -2.156 eV per atom; E = -8.50 eV per atom; magnetization = 0.00 μB per atom; crystal system = triclinic
1.0
-6.4864 -0.8506 -1.4569
-1.1582 -8.5742 -0.1236
-4.7778 -3.0267 12.7539
W O Na
13 39 11
Cartesian
-7.6739 -6.0575 6.8540
-1.8380 -6.7484 1.8161
-10.1692 -10.9860 10.5893
-10.5844 -5.7031 9.3572
-6.0992 -2.7707 8.2108
-3.1722 -3.1490 5.6776
-4.7486 -6.3941 4.3193
-6.7382 -4.3542 1.7185
-6.3233 -9.6809 2.9625
-2.2533 -1.4655 0.5840
-3.8223 -4.7124 -0.7903
-5.6843 -8.0973 9.4549
-9.2503 -9.3025 5.4957
-8.1857 -4.1683 2.9964
-6.8843 -4.4145 7.5291
-1.2310 -2.4636 1.8709
-5.0999 -3.8108 9.5125
-4.2367 -8.2832 8.1770
-8.7124 -11.1989 9.3452
-9.3920 -9.3785 11.3047
-8.4558 -7.6700 6.1408
-7.5070 -5.9962 1.0408
-11.1914 -9.9879 9.3024
-4.6343 -2.9644 6.9504
-6.2112 -6.2258 5.5867
-5.5381 -8.0370 3.6442
-9.1335 -5.8459 8.0952
-4.1792 -2.1040 4.4081
-3.7100 -1.2527 1.8281
-5.5648 -4.6591 12.0729
-2.3889 -1.5134 6.3769
-8.6648 -5.0235 5.5390
-3.7577 -7.4281 5.6343
-2.6222 -8.3945 1.1356
-5.9777 -2.7116 2.4056
-3.0305 -3.0730 -0.1314
-8.2432 -10.3476 6.7652
-3.2432 -0.4253 -0.7285
-7.1250 -7.9129 10.7256
-7.7881 -9.4871 4.2229
-6.6562 -7.0591 8.1415
-9.6025 -6.6965 10.6776
-2.8200 -5.7550 0.4957
-6.8577 -7.7924 -0.8996
-3.2890 -6.6056 3.0781
-9.8003 -4.0570 10.0377
-7.3226 -8.6407 1.6608
-5.2975 -4.5386 0.4478
-3.9667 -4.7815 5.0325
-6.4448 -9.7400 8.7677
-5.7662 -5.3924 3.0318
-4.9155 -6.4554 10.1325
-0.5791 -4.2871 -0.0618
-5.0623 -7.1587 1.0908
-8.0063 -6.8170 3.5749
-7.3602 -5.2928 10.0825
-5.4755 -1.8923 -0.1375
-6.0227 -8.8766 6.2287
-6.9469 -10.5592 11.3109
-6.3998 -3.5749 4.9446
-3.0917 -9.2672 3.6829
-4.4162 -5.6345 7.5984
-9.3308 -3.1843 7.4904

***

PBEsol TlCoBr2, optimized geometry; formation energy without anion corrections = -0.041 eV per atom; E = -3.57 eV per atom; offset from the most stable computed form = 18 meV/atom; magnetization = 0.55 μB per atom; crystal system = orthorhombic
1.0
3.5887 0.0000 0.0000
-1.7944 3.1682 0.0000
0.0000 0.0000 8.7424
Tl Co Br
1 1 2
Cartesian
1.7944 0.0000 0.0000
1.7944 0.0000 4.3712
0.0000 0.0000 5.9989
0.0000 0.0000 2.7435

***

PBEsol TlInH3, optimized geometry; E = -2.60 eV per atom; magnetization = 0.00 μB per atom; crystal system = cubic
1.0
-0.2585 -2.8058 -3.0684
3.1117 1.9086 -2.0074
2.7579 -2.4165 1.9773
In H Tl
1 3 1
Cartesian
2.8055 -1.6569 -1.5493
1.3789 -1.2082 0.9887
1.5558 0.9543 -1.0037
-0.1293 -1.4029 -1.5342
0.0000 0.0000 0.0000

***

PBEsol ScTlCd2, optimized geometry; E = -3.04 eV per atom; energy of formation = -0.137 eV per atom; offset from the most stable computed form = 27 meV/atom; magnetization = 0.00 μB per atom; crystal system = orthorhombic
1.0
3.4075 0.0000 0.0000
0.0000 5.2793 0.0874
0.0000 -1.8328 4.9517
Tl Cd Sc
1 2 1
Cartesian
1.7038 1.7233 2.5196
0.0000 2.6397 0.0437
0.0000 -0.9164 2.4759
1.7038 0.0000 0.0000

***

PBEsol ZnOsPt2, optimized geometry; E = -7.04 eV per atom; energy of formation = -0.104 eV per atom; magnetization = 0.00 μB per atom; crystal system = orthorhombic
1.0
2.7061 0.0000 0.0000
0.0000 4.7362 0.0105
0.0000 -1.6372 4.4442
Zn Pt Os
1 2 1
Cartesian
1.3531 0.0000 0.0000
0.0000 -0.8186 2.2221
0.0000 2.3681 0.0052
1.3531 1.5495 2.2274

***

PBEsol La2MgPb, optimized geometry; E = -4.48 eV per atom; energy of formation = -0.377 eV per atom; magnetization = 0.00 μB per atom; crystal system = orthorhombic
1.0
-1.1191 1.4759 -3.1986
-3.2519 -3.1003 -0.2928
-4.4871 4.3678 3.5853
Mg Pb La
1 1 2
Cartesian
-2.1855 -0.8122 -1.7457
-4.4290 1.3717 0.0469
-1.1403 1.1100 0.9111
-3.3468 3.2578 2.6742

***

PBEsol CsRbTl2, optimized geometry; E = -1.71 eV per atom; energy of formation = 0.094 eV per atom; magnetization = 0.00 μB per atom; crystal system = cubic
1.0
6.1776 0.0000 0.0000
3.0888 5.3500 0.0000
3.0888 1.7833 5.0440
Rb Cs Tl
1 1 2
Cartesian
0.0000 0.0000 0.0000
6.1776 3.5666 2.5220
3.0888 1.7833 1.2610
9.2664 5.3500 3.7830

***

PBEsol YBe2Pt, optimized geometry; E = -5.63 eV per atom; energy of formation = -0.180 eV per atom; offset from the most stable computed form = 468 meV/atom; magnetization = 0.00 μB per atom; crystal system = tetragonal
1.0
4.4272 0.0000 0.0000
-2.2136 3.8370 0.1810
0.0000 2.3779 3.7343
Be Pt Y
2 1 1
Cartesian
0.0000 2.5130 1.0241
0.0000 0.0000 0.0000
2.2136 1.1890 1.8672
2.2136 3.7020 2.8912

***

PBEsol BaHgRh3, optimized geometry; E = -4.46 eV per atom; energy of formation = 0.963 eV per atom; magnetization = 0.23 μB per atom; crystal system = cubic
1.0
4.9665 0.0000 0.0000
0.0000 4.9665 0.0000
0.0000 0.0000 4.9665
Rh Hg Ba
3 1 1
Cartesian
0.0000 0.0000 2.4833
0.0000 2.4833 0.0000
2.4833 0.0000 0.0000
0.0000 0.0000 0.0000
2.4833 2.4833 2.4833

***

PBEsol ZrNi2Ru, optimized geometry; E = -7.65 eV per atom; energy of formation = 0.244 eV per atom; magnetization = 0.01 μB per atom; crystal system = trigonal
1.0
-1.8049 1.8316 0.8691
-2.0469 0.7596 -1.6128
-6.1475 -5.4477 2.9523
Ni Ru Zr
2 1 1
Cartesian
-6.0287 -5.2936 2.8741
-7.5295 -2.1815 1.6763
-5.1422 -1.6134 1.1981
-2.4460 -0.6443 0.5167

***

PBEsol ErTiSi, optimized geometry; formation energy without anion corrections = -0.699 eV per atom; E = -7.03 eV per atom; magnetization = 0.00 μB per atom; crystal system = tetragonal
1.0
-0.2709 3.8018 -1.0871
-3.9413 -0.3476 -0.2336
-0.5980 1.9940 7.1227
Si Er Ti
2 2 2
Cartesian
-2.4239 1.3377 5.2824
-0.2801 2.3834 1.1799
-0.5273 3.2075 4.1235
-2.1768 0.5136 2.3388
0.0000 0.0000 0.0000
-2.1061 1.7271 -0.6603

***

PBEsol InMo2Os, optimized geometry; E = -9.46 eV per atom; energy of formation = 0.222 eV per atom; magnetization = 0.00 μB per atom; crystal system = orthorhombic
1.0
2.8239 0.0000 0.0000
0.0000 4.0807 0.0000
0.0000 0.0000 5.5408
In Mo Os
1 2 1
Cartesian
1.4119 2.0404 2.7704
0.0000 0.0000 1.2442
0.0000 0.0000 4.2966
1.4119 2.0404 0.0000

***

PBEsol ZrNb2GaAs, optimized geometry; E = -7.26 eV per atom; energy of formation = 0.571 eV per atom; magnetization = 0.00 μB per atom; crystal system = tetragonal
1.0
-0.2790 -0.2697 4.6168
3.4140 -3.3127 0.0128
3.3003 3.4028 0.3982
Nb Ga As Zr
2 1 1 1
Cartesian
1.7070 -1.6564 0.0064
1.6502 1.7014 0.1991
-0.1395 -0.1349 2.3084
0.0000 0.0000 0.0000
3.2177 -0.0898 2.5139